No. 1
{"formula": "Pr2DyTh", "functional": "PBE", "state": "optimized geometry", "relative_energy_mev_per_atom": 173.4, "magmom_total_mub_per_cell": 0.003, "spacegroup": "Fm-3m (225)", "dos_ef_per_ev_fu": 11.5, "formation_energy_ev_per_atom": 0.2109, "final_energy_ev_per_atom": -5.184, "lattice_angstrom": [[5.776, 0.000, 0.000], [2.888, 5.002, 0.000], [2.888, 1.667, 4.716]], "species": ["Pr", "Pr", "Th", "Dy"], "fractional_positions": [[0.250, 0.250, 0.250], [0.750, 0.750, 0.750], [0.500, 0.500, 0.500], [0.000, 0.000, 0.000]]}

=====

No. 2
{"formula": "La2ZnCu2Pd5", "functional": "PBE", "state": "optimized geometry", "magmom_total_mub_per_cell": 0.000, "spacegroup": "P4/mbm (127)", "dos_ef_per_ev_fu": 3.7, "formation_energy_ev_per_atom": -0.5915, "final_energy_ev_per_atom": -5.120, "lattice_angstrom": [[3.931, 0.000, 0.000], [0.000, 9.595, 0.000], [0.000, 0.000, 9.595]], "species": ["La", "La", "La", "La", "Zn", "Zn", "Cu", "Cu", "Cu", "Cu", "Pd", "Pd", "Pd", "Pd", "Pd", "Pd", "Pd", "Pd", "Pd", "Pd"], "fractional_positions": [[0.000, 0.679, 0.179], [0.000, 0.321, 0.821], [0.000, 0.179, 0.321], [0.000, 0.821, 0.679], [0.000, 0.000, 0.000], [0.000, 0.500, 0.500], [0.000, 0.120, 0.620], [0.000, 0.880, 0.380], [0.000, 0.620, 0.880], [0.000, 0.380, 0.120], [0.500, 0.203, 0.064], [0.500, 0.797, 0.936], [0.500, 0.064, 0.797], [0.500, 0.703, 0.436], [0.500, 0.936, 0.203], [0.500, 0.297, 0.564], [0.500, 0.564, 0.703], [0.500, 0.436, 0.297], [0.500, 0.500, 0.000], [0.500, 0.000, 0.500]]}

=====

No. 3
{"formula": "CrIn3", "functional": "PBE", "state": "optimized geometry", "magmom_total_mub_per_cell": 3.927, "spacegroup": "Cmmm (65)", "dos_ef_per_ev_fu": 2.0, "formation_energy_ev_per_atom": 0.3028, "final_energy_ev_per_atom": -4.157, "lattice_angstrom": [[-2.248, -1.897, 4.374], [-2.278, -2.044, -4.291], [2.292, -2.630, 0.037]], "species": ["Cr", "In", "In", "In"], "fractional_positions": [[0.000, 0.000, 0.000], [0.000, 0.500, 0.500], [0.500, 0.000, 0.500], [0.500, 0.500, 0.000]]}

=====

No. 4
{"formula": "Ac3Er", "functional": "PBE", "state": "optimized geometry", "relative_energy_mev_per_atom": 29.2, "magmom_total_mub_per_cell": 0.000, "spacegroup": "Imm2 (44)", "dos_ef_per_ev_fu": 6.7, "formation_energy_ev_per_atom": 0.0691, "final_energy_ev_per_atom": -4.153, "lattice_angstrom": [[3.940, 0.000, 0.000], [0.000, 6.705, 0.000], [-1.970, -3.352, 6.264]], "species": ["Ac", "Ac", "Ac", "Er"], "fractional_positions": [[0.258, 0.595, 0.515], [0.500, 0.494, 0.000], [0.742, 0.080, 0.485], [0.000, 0.998, 0.000]]}

=====

No. 5
{"formula": "CaSb2I", "functional": "PBE", "state": "optimized geometry", "magmom_total_mub_per_cell": 0.000, "spacegroup": "Fm-3m (225)", "dos_ef_per_ev_fu": 7.4, "raw_formation_energy_ev_per_atom": 0.05, "final_energy_ev_per_atom": -2.900, "lattice_angstrom": [[-2.374, -0.246, 5.082], [-5.512, 0.904, 0.570], [-3.424, -4.257, 1.296]], "species": ["I", "Sb", "Sb", "Ca"], "fractional_positions": [[0.500, 0.500, 0.500], [0.250, 0.250, 0.250], [0.750, 0.750, 0.750], [0.000, 0.000, 0.000]]}

=====

No. 6
{"formula": "Dy2Zn3Pt", "functional": "PBE", "state": "optimized geometry", "relative_energy_mev_per_atom": 3.7, "magmom_total_mub_per_cell": 0.000, "spacegroup": "Fmmm (69)", "dos_ef_per_ev_fu": 4.3, "formation_energy_ev_per_atom": -0.6448, "final_energy_ev_per_atom": -3.823, "lattice_angstrom": [[-4.614, 2.578, 2.069], [-4.153, -1.565, -3.537], [2.939, -6.623, 5.136]], "species": ["Dy", "Dy", "Dy", "Dy", "Zn", "Zn", "Zn", "Zn", "Zn", "Zn", "Pt", "Pt"], "fractional_positions": [[0.750, 0.250, 0.500], [0.742, 0.258, 0.000], [0.250, 0.750, 0.500], [0.258, 0.742, 0.000], [0.835, 0.835, 0.165], [0.670, 0.670, 0.835], [0.165, 0.165, 0.835], [0.330, 0.330, 0.165], [0.165, 0.165, 0.330], [0.835, 0.835, 0.670], [0.666, 0.666, 0.331], [0.334, 0.334, 0.669]]}

=====

No. 7
{"formula": "TlSiIrO6", "functional": "PBE", "state": "optimized geometry", "magmom_total_mub_per_cell": 1.814, "spacegroup": "P312 (149)", "dos_ef_per_ev_fu": 4.0, "raw_formation_energy_ev_per_atom": -1.29, "final_energy_ev_per_atom": -6.442, "lattice_angstrom": [[5.042, 0.000, 0.000], [2.521, 4.367, 0.000], [0.000, 0.000, 4.804]], "species": ["Tl", "Si", "Ir", "O", "O", "O", "O", "O", "O"], "fractional_positions": [[0.000, 0.000, 0.000], [0.333, 0.333, 0.500], [0.667, 0.667, 0.500], [0.024, 0.359, 0.289], [0.359, 0.024, 0.711], [0.617, 0.359, 0.711], [0.024, 0.617, 0.711], [0.359, 0.617, 0.289], [0.617, 0.024, 0.289]]}

=====

No. 8
{"formula": "SbPd2Au2", "functional": "PBE", "state": "optimized geometry", "relative_energy_mev_per_atom": 0.0, "magmom_total_mub_per_cell": 0.000, "spacegroup": "P4/mbm (127)", "dos_ef_per_ev_fu": 2.6, "raw_formation_energy_ev_per_atom": -0.12, "final_energy_ev_per_atom": -4.329, "lattice_angstrom": [[-1.986, -3.594, -5.592], [1.368, -5.933, 3.327], [-3.665, -0.085, 1.356]], "species": ["Sb", "Sb", "Au", "Au", "Au", "Au", "Pd", "Pd", "Pd", "Pd"], "fractional_positions": [[0.000, 0.000, 0.000], [0.500, 0.500, 0.000], [0.152, 0.652, 0.500], [0.652, 0.848, 0.500], [0.848, 0.348, 0.500], [0.348, 0.152, 0.500], [0.355, 0.855, 0.000], [0.855, 0.645, 0.000], [0.645, 0.145, 0.000], [0.145, 0.355, 0.000]]}

=====

No. 9
{"formula": "Cd2IrBr", "functional": "PBE", "state": "optimized geometry", "relative_energy_mev_per_atom": 520.0, "magmom_total_mub_per_cell": 0.000, "spacegroup": "Pmmm (47)", "dos_ef_per_ev_fu": 1.9, "raw_formation_energy_ev_per_atom": 0.54, "final_energy_ev_per_atom": -2.552, "lattice_angstrom": [[3.131, 0.000, 0.000], [0.000, 4.814, 0.000], [0.000, 0.000, 5.280]], "species": ["Ir", "Br", "Cd", "Cd"], "fractional_positions": [[0.500, 0.000, 0.500], [0.000, 0.500, 0.500], [0.000, 0.000, 0.000], [0.500, 0.500, 0.000]]}

=====

No. 10
{"formula": "La4TeRhCl2", "functional": "PBE", "state": "optimized geometry", "magmom_total_mub_per_cell": 0.001, "spacegroup": "P2/m (10)", "dos_ef_per_ev_fu": 6.5, "raw_formation_energy_ev_per_atom": -1.38, "final_energy_ev_per_atom": -5.613, "lattice_angstrom": [[-2.399, -1.198, 3.212], [-3.618, -4.584, -4.413], [3.693, -7.113, 0.105]], "species": ["La", "La", "La", "La", "Te", "Rh", "Cl", "Cl"], "fractional_positions": [[0.000, 0.763, 0.725], [0.000, 0.237, 0.275], [0.500, 0.724, 0.287], [0.500, 0.276, 0.713], [0.500, 0.500, 0.000], [0.000, 0.500, 0.500], [0.000, 0.000, 0.000], [0.500, 0.000, 0.500]]}

=====

No. 11
{"formula": "As4RhSe", "functional": "PBE", "state": "optimized geometry", "magmom_total_mub_per_cell": 0.012, "spacegroup": "F-43m (216)", "dos_ef_per_ev_fu": 6.5, "raw_formation_energy_ev_per_atom": 0.69, "final_energy_ev_per_atom": -4.212, "lattice_angstrom": [[3.160, 1.546, 4.199], [0.600, 5.319, 1.164], [-2.282, 2.089, 4.521]], "species": ["As", "As", "As", "As", "Rh", "Se"], "fractional_positions": [[0.876, 0.375, 0.375], [0.375, 0.375, 0.876], [0.375, 0.876, 0.375], [0.375, 0.375, 0.375], [0.750, 0.750, 0.750], [0.000, 0.000, 0.000]]}

=====

No. 12
{"formula": "AcCu2Ag10", "functional": "PBE", "state": "optimized geometry", "magmom_total_mub_per_cell": 0.000, "spacegroup": "Fmmm (69)", "dos_ef_per_ev_fu": 5.2, "formation_energy_ev_per_atom": -0.0490, "final_energy_ev_per_atom": -3.188, "lattice_angstrom": [[5.056, 0.000, 2.061], [2.528, 6.768, 1.031], [-0.012, 0.000, 7.260]], "species": ["Ac", "Cu", "Cu", "Ag", "Ag", "Ag", "Ag", "Ag", "Ag", "Ag", "Ag", "Ag", "Ag"], "fractional_positions": [[0.000, 0.000, 0.000], [0.000, 0.500, 0.000], [0.500, 0.500, 0.000], [0.351, 0.640, 0.658], [0.649, 0.360, 0.342], [0.991, 0.360, 0.658], [0.009, 0.640, 0.342], [0.000, 0.000, 0.500], [0.500, 0.000, 0.500], [0.277, 0.232, 0.215], [0.723, 0.768, 0.785], [0.508, 0.768, 0.215], [0.492, 0.232, 0.785]]}